Record 1
DFT (PBE) results for a relaxed structure of LiAg2Cl4.

Geometry as extended XYZ:
```
14
Lattice="-1.377 -2.718 7.278 4.251 -5.598 2.990 4.557 1.872 5.837" Properties=species:S:1:pos:R:3 pbc="T T T"
Ag 3.716 -3.222 8.053
Ag 3.088 0.143 4.914
Ag 4.344 -6.586 11.192
Ag -0.688 -1.359 3.639
Cl 4.204 -0.716 7.045
Cl 1.256 -3.180 7.603
Cl 1.755 -1.803 3.935
Cl 3.549 -2.009 10.509
Cl 3.883 -4.434 5.596
Cl 6.176 -3.263 8.503
Cl 5.677 -4.640 12.170
Cl 3.228 -5.727 9.060
Li 1.437 -4.158 5.134
Li 2.126 -2.799 1.495
```

## Properties
* calculated total energy: -2.926 eV/atom
* relative energy among the computed polymorphs: 0.000 eV per atom

Record 2
DFT (PBE) results for a relaxed structure of CaAcLaHg.

Geometry as extended XYZ:
```
4
Lattice="-3.930 3.463 -2.510 -5.301 0.531 2.313 -1.561 4.966 2.576" Properties=species:S:1:pos:R:3 pbc="T T T"
Hg -5.396 4.480 1.189
Ca -2.698 2.240 0.595
La -8.094 6.720 1.784
Ac 0.000 0.000 0.000
```

## Properties
* calculated total energy: -2.819 eV/atom
* formation energy from the elements: 0.07 eV per formula unit
* relative energy among the computed polymorphs: 0.269 eV per atom

Record 3
DFT (PBE) results for a relaxed structure of NaMgCd6.

Geometry as extended XYZ:
```
8
Lattice="-0.565 4.248 1.591 0.673 -1.507 4.263 8.578 1.456 -0.839" Properties=species:S:1:pos:R:3 pbc="T T T"
Na 0.000 0.000 0.000
Cd 1.918 2.497 0.580
Cd 4.343 2.098 2.507
Cd 6.714 0.329 1.507
Cd 6.095 3.206 0.171
Cd 2.537 -0.380 1.916
Cd 0.054 1.371 2.927
Mg 4.289 0.728 -0.420
```

## Properties
* calculated total energy: -1.106 eV/atom
* formation energy from the elements: -0.44 eV per formula unit
* relative energy among the computed polymorphs: 0.030 eV per atom

Record 4
DFT (PBE) results for a relaxed structure of MgAu2Br.

Geometry as extended XYZ:
```
4
Lattice="-0.289 -0.553 -4.870 4.739 -1.273 -0.161 -3.103 -2.410 2.944" Properties=species:S:1:pos:R:3 pbc="T T T"
Au 1.931 -2.298 0.134
Au 0.000 0.000 0.000
Br 2.225 -0.913 -2.515
Mg -0.583 -1.938 -2.220
```

## Properties
* calculated total energy: -2.520 eV/atom
* relative energy among the computed polymorphs: 0.461 eV per atom